VASP calculation (PBE) on a relaxed BeCu2S crystal.

Unit cell a=5.855 b=5.855 c=5.855 alpha=90.00 beta=90.00 gamma=90.00
Positions (direct):
Be: 0.000 0.000 0.000
Be: 0.000 0.500 0.500
Be: 0.500 0.000 0.500
Be: 0.500 0.500 0.000
Cu: 0.250 0.250 0.250
Cu: 0.250 0.250 0.750
Cu: 0.250 0.750 0.250
Cu: 0.250 0.750 0.750
Cu: 0.750 0.250 0.250
Cu: 0.750 0.250 0.750
Cu: 0.750 0.750 0.250
Cu: 0.750 0.750 0.750
S: 0.000 0.000 0.500
S: 0.000 0.500 0.000
S: 0.500 0.000 0.000
S: 0.500 0.500 0.500

Volume, Å³/cell: 200.7
E above lowest polymorph, eV/atom: 0.180
Total magnetization, μB per formula unit: 0.00